# ZnCrF3, relaxed, DFT PBE+U
# **Distance to the lowest polymorph of the same formula**: 22 meV per atom
# **Total magnetic moment**: 1.00 μB per atom
# **Theoretical density**: 4.3 g/cm³
# **Raw total energy**: -4.683 eV per atom
data_ZnCrF3
_symmetry_space_group_name_H-M 'P m -3 m'
_symmetry_Int_Tables_number 221
_symmetry_space_group_name_Hall '-P 4 2 3'
_cell_length_a 4.066
_cell_length_b 4.066
_cell_length_c 4.066
_cell_angle_alpha 90.00
_cell_angle_beta 90.00
_cell_angle_gamma 90.00
loop_
_atom_site_label
_atom_site_fract_x
_atom_site_fract_y
_atom_site_fract_z
_atom_site_occupancy
Zn1 0.000 0.000 0.000 1
Cr1 0.500 0.500 0.500 1
F1 0.000 0.000 0.500 1